Entry 1:
PBE Th3Zn9Pd2, optimized geometry; DOS(E_F) = 7.86 states/eV/f.u.; energy of formation = -5.68 eV per formula unit; spin magnetization = 0.000 μB/atom; E = -3.556 eV/atom
1.0
-2.223 4.551 6.521
2.223 -4.551 6.521
2.223 4.551 -6.521
Th Zn Pd
3 9 2
Direct
0.000 0.000 0.000
0.303 0.303 0.000
0.697 0.697 0.000
0.022 0.662 0.361
0.148 0.867 0.281
0.301 0.662 0.639
0.414 0.133 0.281
0.500 0.000 0.500
0.586 0.867 0.719
0.699 0.338 0.361
0.852 0.133 0.719
0.978 0.338 0.639
0.311 0.500 0.811
0.689 0.500 0.189



Entry 2:
PBE ThZnPd2, optimized geometry; DOS(E_F) = 1.94 states/eV/f.u.; energy of formation = -1.94 eV per formula unit; spin magnetization = 0.000 μB/atom; E = -5.256 eV/atom
1.0
4.702 0.000 0.000
0.000 4.702 0.000
0.000 0.000 3.607
Th Zn Pd
1 1 2
Direct
0.000 0.000 0.000
0.500 0.500 0.000
0.000 0.500 0.500
0.500 0.000 0.500



Entry 3:
PBE Th2ZnPd3, optimized geometry; DOS(E_F) = 4.35 states/eV/f.u.; energy of formation = -4.25 eV per formula unit; spin magnetization = 0.000 μB/atom; E = -5.991 eV/atom
1.0
0.000 4.741 7.585
3.602 0.000 7.585
3.602 4.741 0.000
Th Zn Pd
4 2 6
Direct
0.248 0.752 0.752
0.250 0.250 0.250
0.750 0.750 0.750
0.752 0.248 0.248
0.329 0.329 0.671
0.671 0.671 0.329
0.161 0.161 0.839
0.176 0.645 0.355
0.355 0.824 0.176
0.645 0.176 0.824
0.824 0.355 0.645
0.839 0.839 0.161



Entry 4:
PBE ThZrZnPd, optimized geometry; DOS(E_F) = 4.89 states/eV/f.u.; energy of formation = -1.19 eV per formula unit; spin magnetization = 0.000 μB/atom; E = -5.905 eV/atom
1.0
0.000 3.521 3.521
3.521 0.000 3.521
3.521 3.521 0.000
Th Zr Zn Pd
1 1 1 1
Direct
0.000 0.000 0.000
0.500 0.500 0.500
0.250 0.250 0.250
0.750 0.750 0.750



Entry 5:
PBE ThZrPd5, optimized geometry; DOS(E_F) = 2.75 states/eV/f.u.; energy of formation = -4.53 eV per formula unit; spin magnetization = 0.000 μB/atom; E = -6.637 eV/atom
1.0
4.102 0.000 0.000
0.000 4.102 0.000
0.000 0.000 8.140
Th Zr Pd
1 1 5
Direct
0.000 0.000 0.000
0.500 0.500 0.500
0.000 0.500 0.271
0.000 0.500 0.729
0.500 0.000 0.271
0.500 0.000 0.729
0.500 0.500 0.000



Entry 6:
PBE ThZrPd6, optimized geometry; DOS(E_F) = 1.69 states/eV/f.u.; energy of formation = -6.69 eV per formula unit; spin magnetization = 0.000 μB/atom; E = -6.727 eV/atom
1.0
4.147 0.000 0.000
0.000 4.147 0.000
0.000 0.000 8.189
Th Zr Pd
1 1 6
Direct
0.000 0.000 0.000
0.000 0.000 0.500
0.000 0.500 0.260
0.000 0.500 0.740
0.500 0.000 0.260
0.500 0.000 0.740
0.500 0.500 0.000
0.500 0.500 0.500



Entry 7:
PBE ThZr2Pd, optimized geometry; DOS(E_F) = 3.41 states/eV/f.u.; energy of formation = -1.12 eV per formula unit; offset from the most stable computed form = 0.000 eV per atom; spin magnetization = 0.000 μB/atom; E = -7.708 eV/atom
1.0
3.442 0.000 0.000
0.000 3.442 0.000
0.000 0.000 7.758
Th Zr Pd
1 2 1
Direct
0.000 0.000 0.000
0.500 0.500 0.290
0.500 0.500 0.710
0.000 0.000 0.500



Entry 8:
PBE ThZr2Pd, optimized geometry; DOS(E_F) = 7.17 states/eV/f.u.; energy of formation = -0.22 eV per formula unit; offset from the most stable computed form = 0.226 eV per atom; spin magnetization = 0.001 μB/atom; E = -7.482 eV/atom
1.0
0.000 3.531 3.531
3.531 0.000 3.531
3.531 3.531 0.000
Th Zr Pd
1 2 1
Direct
0.000 0.000 0.000
0.250 0.250 0.250
0.750 0.750 0.750
0.500 0.500 0.500



Entry 9:
PBE ThZr2Pd, optimized geometry; DOS(E_F) = 4.51 states/eV/f.u.; energy of formation = -0.34 eV per formula unit; offset from the most stable computed form = 0.196 eV per atom; spin magnetization = 0.000 μB/atom; E = -7.512 eV/atom
1.0
1.637 0.945 9.954
-1.637 0.945 9.954
0.000 -1.891 9.954
Th Zr Pd
1 2 1
Direct
0.000 0.000 0.000
0.240 0.240 0.240
0.427 0.427 0.427
0.833 0.833 0.833



Entry 10:
PBE Th4ZrPd15, optimized geometry; DOS(E_F) = 2.69 states/eV/f.u.; energy of formation = -17.55 eV per formula unit; spin magnetization = 0.000 μB/atom; E = -6.684 eV/atom
1.0
4.197 0.000 0.000
0.000 4.197 0.000
0.000 0.000 20.809
Th Zr Pd
4 1 15
Direct
0.000 0.000 0.102
0.000 0.000 0.307
0.000 0.000 0.693
0.000 0.000 0.898
0.000 0.000 0.500
0.000 0.500 0.000
0.000 0.500 0.203
0.000 0.500 0.406
0.000 0.500 0.594
0.000 0.500 0.797
0.500 0.000 0.000
0.500 0.000 0.203
0.500 0.000 0.406
0.500 0.000 0.594
0.500 0.000 0.797
0.500 0.500 0.102
0.500 0.500 0.305
0.500 0.500 0.500
0.500 0.500 0.695
0.500 0.500 0.898



Entry 11:
PBE Ti4Pd5, optimized geometry; DOS(E_F) = 9.68 states/eV/f.u.; energy of formation = -4.10 eV per formula unit; offset from the most stable computed form = 0.051 eV per atom; spin magnetization = 0.000 μB/atom; E = -6.849 eV/atom
1.0
-1.567 4.269 5.392
1.567 -4.269 5.392
1.567 4.269 -5.392
Ti Pd
4 5
Direct
0.032 0.848 0.184
0.336 0.152 0.184
0.664 0.848 0.816
0.968 0.152 0.816
0.000 0.500 0.500
0.294 0.794 0.500
0.343 0.500 0.843
0.657 0.500 0.157
0.706 0.206 0.500



Entry 12:
PBE Ti5Pd7, optimized geometry; DOS(E_F) = 12.31 states/eV/f.u.; energy of formation = -4.98 eV per formula unit; spin magnetization = 0.000 μB/atom; E = -6.733 eV/atom
1.0
6.995 -1.419 0.000
6.995 1.419 0.000
-0.420 0.000 9.736
Ti Pd
5 7
Direct
0.000 0.000 0.000
0.133 0.133 0.370
0.315 0.315 0.134
0.685 0.685 0.866
0.867 0.867 0.630
0.037 0.037 0.751
0.208 0.208 0.620
0.354 0.354 0.866
0.500 0.500 0.500
0.646 0.646 0.134
0.792 0.792 0.380
0.963 0.963 0.249